Here is an optimized crystal structure of SrBeMo2O8 from the Alexandria database. Energies are from GGA+U.

Geometry as POSCAR:
```
SrBeMo2O8
1.0
2.542 1.467 6.203
-2.542 1.467 6.203
0.000 -2.935 6.203
Sr Be Mo O
1 1 2 8
Direct
0.000 0.000 0.000 Sr
0.500 0.500 0.500 Be
0.207 0.207 0.207 Mo
0.793 0.793 0.793 Mo
0.159 0.398 0.801 O
0.199 0.841 0.602 O
0.302 0.302 0.302 O
0.398 0.801 0.159 O
0.602 0.199 0.841 O
0.698 0.698 0.698 O
0.801 0.159 0.398 O
0.841 0.602 0.199 O
```

## Properties
* uncorrected energy: -81.969 eV/cell